# 1
! ErSiTe (GGA-PBE, optimized geometry); values from VASP
! Space-group type = No. 166
! E = -5.135 eV/atom
! Total magnetization = 0.00 μB per cell
! Volume = 84.59 Å³/f.u.
&SYSTEM
  ibrav = 0, nat = 6, ntyp = 3
/
ATOMIC_SPECIES
Si 28.09 Si.upf
Te 127.60 Te.upf
Er 167.26 Er.upf
ATOMIC_POSITIONS crystal
Si 0.157 0.157 0.528
Te 0.280 0.280 0.161
Er 0.437 0.437 0.688
Si 0.843 0.843 0.472
Te 0.720 0.720 0.839
Er 0.563 0.563 0.312
CELL_PARAMETERS angstrom
-2.024 2.531 -2.462
-0.804 -1.101 -3.835
-11.149 -4.279 1.406



# 2
! MnZnNiAs (GGA-PBE, optimized geometry); values from VASP
! Space-group type = No. 25
! Energy relative to the lowest polymorph listed for this composition = 23 meV per atom
! Total magnetization = 3.10 μB per cell
! Calculated formation energy = -0.040 eV per atom
! Volume = 55.95 Å³/f.u.
&SYSTEM
  ibrav = 0, nat = 4, ntyp = 4
/
ATOMIC_SPECIES
Mn 54.94 Mn.upf
Zn 65.41 Zn.upf
Ni 58.69 Ni.upf
As 74.92 As.upf
ATOMIC_POSITIONS crystal
Mn 0.000 0.000 0.241
Zn 0.000 0.500 0.860
Ni 0.500 0.000 0.718
As 0.500 0.500 0.385
CELL_PARAMETERS angstrom
3.116 0.000 0.000
0.000 3.716 0.000
0.000 0.000 4.833



# 3
! SiSnSb2Te (GGA-PBE, optimized geometry); values from VASP
! Space-group type = No. 123
! Energy relative to the lowest polymorph listed for this composition = 0 meV per atom
! Total magnetization = 0.00 μB per cell
! Volume = 146.51 Å³/f.u.
&SYSTEM
  ibrav = 0, nat = 5, ntyp = 4
/
ATOMIC_SPECIES
Si 28.09 Si.upf
Te 127.60 Te.upf
Sb 121.76 Sb.upf
Sn 118.71 Sn.upf
ATOMIC_POSITIONS crystal
Si 0.000 0.000 0.000
Te 0.000 0.000 0.500
Sb 0.000 0.500 0.000
Sb 0.500 0.000 0.000
Sn 0.500 0.500 0.500
CELL_PARAMETERS angstrom
5.259 0.000 0.000
0.000 5.259 0.000
0.000 0.000 5.298



Q: The lowest volume belongs to which entry?
A: MnZnNiAs



Q: Which value of total magnetization does entry 1 give?
A: 0.00 μB per cell